Record 1
A plane-wave DFT calculation with SCAN was carried out for a PBEsol-optimized structure of La5TlS8.

Unit cell a=8.716 b=8.716 c=8.599 alpha=90.00 beta=90.00 gamma=90.00
Space group I-4 (No. 82)
Symmetry-distinct sites (fractional):
La (0.000, 0.000, 0.000) [2 per cell]
La (0.133, 0.751, 0.619) [8 per cell]
Tl (0.000, 0.500, 0.250) [2 per cell]
S (0.078, 0.681, 0.939) [8 per cell]
S (0.079, 0.839, 0.299) [8 per cell]

Calculated values
- mass density (g/cm3) = 5.9
- E_form (uncorrected) (meV per atom) = -2272
- crystal system = tetragonal

***

Record 2
A plane-wave DFT calculation with SCAN was carried out for a PBEsol-optimized structure of SrMgRh.

Unit cell a=4.4836 b=4.4836 c=4.2008 alpha=90.00 beta=90.00 gamma=120.00
Space group P-6m2 (No. 187)
Symmetry-distinct sites (fractional):
Sr (0.0000, 0.0000, 0.0000) [1 per cell]
Mg (0.3333, 0.6667, 0.5000) [1 per cell]
Rh (0.6667, 0.3333, 0.5000) [1 per cell]

Calculated values
- energy relative to the elements (eV per atom) = -0.21
- mass density (g/cm3) = 4.9
- crystal system = hexagonal

***

Record 3
A plane-wave DFT calculation with SCAN was carried out for a PBEsol-optimized structure of LaTa2Os.

Unit cell a=3.126 b=4.939 c=9.817 alpha=90.00 beta=90.00 gamma=90.00
Space group Imm2 (No. 44)
Symmetry-distinct sites (fractional):
La (0.000, 0.000, 0.000) [2 per cell]
Ta (0.000, 0.000, 0.467) [2 per cell]
Ta (0.000, 0.500, 0.236) [2 per cell]
Os (0.000, 0.500, 0.752) [2 per cell]

Calculated values
- energy relative to the elements (eV per atom) = 0.35
- mass density (g/cm3) = 15.1
- crystal system = orthorhombic

***

Record 4
A plane-wave DFT calculation with SCAN was carried out for a PBEsol-optimized structure of Nb6Co16Si7.

Unit cell a=11.069 b=11.069 c=11.069 alpha=90.00 beta=90.00 gamma=90.00
Space group Fm-3m (No. 225)
Symmetry-distinct sites (fractional):
Nb (0.000, 0.000, 0.203) [24 per cell]
Co (0.119, 0.119, 0.381) [32 per cell]
Co (0.167, 0.167, 0.167) [32 per cell]
Si (0.000, 0.000, 0.500) [4 per cell]
Si (0.000, 0.250, 0.250) [24 per cell]

Calculated values
- mass density (g/cm3) = 8.3
- E_form (uncorrected) (meV per atom) = -468
- crystal system = cubic

***

Number 1: calculated volume 23.3 Å³/atom. Number 2: calculated volume 24.4 Å³/atom. Number 3: calculated volume 18.9 Å³/atom. Number 4: calculated volume 11.7 Å³/atom.